Here is crystalline Nd8Tm4Mg at its relaxed geometry from the Alexandria database. Energies are from PBE.

Output
For the calculated total energy, the calculation gives -4.2653 eV per atom. The calculated formation energy comes out at 167 meV per atom.

Cell lengths 7.1547, 7.1547, 30.1349 Å; angles 90.00, 90.00, 120.00 degrees
Space group R-3m (No. 166, hexagonal axes)
Inequivalent atoms, fractional coordinates:
Nd 0.0000 0.0000 0.2217 [6 per cell]
Nd 0.0086 0.5043 0.7592 [18 per cell]
Tm 0.0000 0.0000 0.0000 [3 per cell]
Tm 0.0000 0.5000 0.0000 [9 per cell]
Mg 0.0000 0.0000 0.5000 [3 per cell]